Here is a geometry-optimized Na2SnS2F2 structure from Alexandria via LeMat-Bulk. Energies are from GGA-PBE.

Values from the calculation:
Raw formation energy (eV/atom): -1.680
Space group: C2/m (12)
Total magnetization (Bohr magnetons per cell): 0.0

```
7
Lattice="6.336 -1.815 0.000 6.336 1.815 0.000 -3.262 0.000 5.914" Properties=species:S:1:pos:R:3 pbc="T T T"
Na 2.095 0.000 1.063
Na 7.315 0.000 4.851
Sn -1.631 0.000 2.957
S 3.218 0.000 3.878
S 6.192 0.000 2.036
F -0.454 0.000 4.777
F 9.864 0.000 1.137
```